Record 1
This record from the Alexandria database describes an optimized crystal structure of GdMgPb2. The functional is PBE.

Calculated values
Excess energy over the best structure of this formula in the dataset   0.0 kJ/mol of atoms
Energy of formation from the pure elements   -0.36 eV/atom

a b c (Å): 4.907 4.907 4.500
angles (deg): 90.00 90.00 90.00
Space group P4/mmm (No. 123)
Symmetry-distinct sites (fractional):
1 Gd 0.000 0.000 0.000
2 Mg 0.500 0.500 0.000
3 Pb 0.000 0.500 0.500

=====

Record 2
This record from the Alexandria database describes an optimized crystal structure of Gd2MgPb. The functional is PBE.

Calculated values
Excess energy over the best structure of this formula in the dataset   0.0 kJ/mol of atoms
Energy of formation from the pure elements   -0.36 eV/atom

a b c (Å): 4.937 4.937 4.536
angles (deg): 90.00 90.00 90.00
Space group P4/mmm (No. 123)
Symmetry-distinct sites (fractional):
1 Gd 0.000 0.500 0.000
2 Mg 0.000 0.000 0.500
3 Pb 0.500 0.500 0.500

=====

Record 3
This record from the Alexandria database describes an optimized crystal structure of GdMgPb2. The functional is PBE.

Calculated values
Excess energy over the best structure of this formula in the dataset   11.0 kJ/mol of atoms
Energy of formation from the pure elements   -0.24 eV/atom

a b c (Å): 7.628 7.628 7.628
angles (deg): 90.00 90.00 90.00
Space group Fm-3m (No. 225)
Symmetry-distinct sites (fractional):
1 Gd 0.000 0.000 0.000
2 Mg 0.000 0.000 0.500
3 Pb 0.250 0.250 0.250

=====

Record 4
This record from the Alexandria database describes an optimized crystal structure of GdMgPdPb. The functional is PBE.

Calculated values
Energy of formation from the pure elements   -0.49 eV/atom

a b c (Å): 7.153 7.153 7.153
angles (deg): 90.00 90.00 90.00
Space group F-43m (No. 216)
Symmetry-distinct sites (fractional):
1 Gd 0.000 0.000 0.000
2 Mg 0.000 0.000 0.500
3 Pd 0.250 0.250 0.250
4 Pb 0.250 0.250 0.750

=====

Record 5
This record from the Alexandria database describes an optimized crystal structure of PrGdMgPb. The functional is PBE.

Calculated values
Energy of formation from the pure elements   -0.32 eV/atom

a b c (Å): 7.753 7.753 7.753
angles (deg): 90.00 90.00 90.00
Space group F-43m (No. 216)
Symmetry-distinct sites (fractional):
1 Pr 0.000 0.000 0.000
2 Gd 0.000 0.000 0.500
3 Mg 0.250 0.250 0.750
4 Pb 0.250 0.250 0.250

=====

Record 6
This record from the Alexandria database describes an optimized crystal structure of GdMgPtPb. The functional is PBE.

Calculated values
Energy of formation from the pure elements   -0.58 eV/atom

a b c (Å): 7.121 7.121 7.121
angles (deg): 90.00 90.00 90.00
Space group F-43m (No. 216)
Symmetry-distinct sites (fractional):
1 Gd 0.000 0.000 0.000
2 Mg 0.000 0.000 0.500
3 Pt 0.250 0.250 0.750
4 Pb 0.250 0.250 0.250

=====

Record 7
This record from the Alexandria database describes an optimized crystal structure of GdMgScPb. The functional is PBE.

Calculated values
Energy of formation from the pure elements   -0.26 eV/atom

a b c (Å): 7.425 7.425 7.425
angles (deg): 90.00 90.00 90.00
Space group F-43m (No. 216)
Symmetry-distinct sites (fractional):
1 Gd 0.000 0.000 0.000
2 Mg 0.250 0.250 0.250
3 Sc 0.000 0.000 0.500
4 Pb 0.250 0.250 0.750

=====

Record 8
This record from the Alexandria database describes an optimized crystal structure of TbGdMgPb. The functional is PBE.

Calculated values
Energy of formation from the pure elements   -0.30 eV/atom

a b c (Å): 7.627 7.627 7.627
angles (deg): 90.00 90.00 90.00
Space group F-43m (No. 216)
Symmetry-distinct sites (fractional):
1 Tb 0.000 0.000 0.000
2 Gd 0.000 0.000 0.500
3 Mg 0.250 0.250 0.250
4 Pb 0.250 0.250 0.750

=====

Record 9
This record from the Alexandria database describes an optimized crystal structure of GdThMgPb. The functional is PBE.

Calculated values
Energy of formation from the pure elements   -0.14 eV/atom

a b c (Å): 7.742 7.742 7.742
angles (deg): 90.00 90.00 90.00
Space group F-43m (No. 216)
Symmetry-distinct sites (fractional):
1 Gd 0.000 0.000 0.000
2 Th 0.000 0.000 0.500
3 Mg 0.250 0.250 0.250
4 Pb 0.250 0.250 0.750

=====

Record 10
This record from the Alexandria database describes an optimized crystal structure of GdMgTlPb. The functional is PBE.

Calculated values
Energy of formation from the pure elements   -0.24 eV/atom

a b c (Å): 7.569 7.569 7.569
angles (deg): 90.00 90.00 90.00
Space group F-43m (No. 216)
Symmetry-distinct sites (fractional):
1 Gd 0.000 0.000 0.000
2 Mg 0.000 0.000 0.500
3 Tl 0.250 0.250 0.750
4 Pb 0.250 0.250 0.250

=====

Record 11
This record from the Alexandria database describes an optimized crystal structure of GdTmMgPb. The functional is PBE.

Calculated values
Energy of formation from the pure elements   -0.27 eV/atom

a b c (Å): 7.575 7.575 7.575
angles (deg): 90.00 90.00 90.00
Space group F-43m (No. 216)
Symmetry-distinct sites (fractional):
1 Gd 0.000 0.000 0.000
2 Tm 0.000 0.000 0.500
3 Mg 0.250 0.250 0.750
4 Pb 0.250 0.250 0.250

=====

Record 12
This record from the Alexandria database describes an optimized crystal structure of GdMgPd. The functional is PBE.

Calculated values
Excess energy over the best structure of this formula in the dataset   15.8 kJ/mol of atoms
Energy of formation from the pure elements   -0.52 eV/atom

a b c (Å): 6.703 6.703 6.703
angles (deg): 90.00 90.00 90.00
Space group F-43m (No. 216)
Symmetry-distinct sites (fractional):
1 Gd 0.000 0.000 0.000
2 Mg 0.000 0.000 0.500
3 Pd 0.250 0.250 0.750

=====

no.,density of states at the Fermi level (states/eV/f.u.),ρ (kg/m3)
1,3.12,9132
2,3.39,8201
3,2.96,8918
4,2.53,8987
5,4.79,7550
6,3.60,10741
7,3.16,7038
8,4.44,8200
9,4.11,8886
10,2.63,9087
11,3.98,8524
12,2.38,6352